Entry P
The following is a PBE-GGA calculation of an optimized crystal structure of BeCoSCl2, from the Alexandria database.

The magnetization is 1.169 μB/f.u. Its density of states at the Fermi level is 4.733 states/eV per cell.

It has space group P4/mmm (No. 123), with a = 4.569 Å, b = 4.569 Å, c = 4.467 Å, α = 90.00°, β = 90.00° and γ = 90.00°. Symmetry generates all atoms from Be at (0.000, 0.000, 0.000), Co at (0.500, 0.500, 0.500), S at (0.500, 0.500, 0.000) and Cl at (0.000, 0.500, 0.500).

Entry Q
The following is a PBE-GGA calculation of an optimized crystal structure of BeCoSCl2, from the Alexandria database.

The magnetization is 2.840 μB/f.u. Its density of states at the Fermi level is 7.632 states/eV per cell.

It has space group P4/mmm (No. 123), with a = 4.090 Å, b = 4.090 Å, c = 5.648 Å, α = 90.00°, β = 90.00° and γ = 90.00°. Symmetry generates all atoms from Be at (0.000, 0.000, 0.000), Co at (0.500, 0.500, 0.500), S at (0.000, 0.000, 0.500) and Cl at (0.000, 0.500, 0.000).

Verdict on stability: entry Q comes out on top.

Entry P
The following is a PBE-GGA calculation of an optimized crystal structure of BeCrCl2, from the Alexandria database.

The magnetization is 3.590 μB/f.u. Its density of states at the Fermi level is 4.269 states/eV per cell.

It has space group Immm (No. 71), with a = 3.218 Å, b = 3.948 Å, c = 12.605 Å, α = 90.00°, β = 90.00° and γ = 90.00°. Symmetry generates all atoms from Be at (0.000, 0.000, 0.000), Cr at (0.000, 0.000, 0.500) and Cl at (0.000, 0.500, 0.377).

Entry Q
The following is a PBE-GGA calculation of an optimized crystal structure of BeCrCl2, from the Alexandria database.

The magnetization is 5.009 μB/f.u. Its density of states at the Fermi level is 2.191 states/eV per cell.

It has space group Cmmm (No. 65), with a = 3.040 Å, b = 6.171 Å, c = 10.614 Å, α = 90.00°, β = 90.00° and γ = 90.00°. Symmetry generates all atoms from Be at (0.000, 0.000, 0.000), Cr at (0.000, 0.000, 0.500) and Cl at (0.000, 0.500, 0.137).

Entry R
The following is a PBE-GGA calculation of an optimized crystal structure of BeCrCl2, from the Alexandria database.

The magnetization is 4.088 μB/f.u. Its density of states at the Fermi level is 1.781 states/eV per cell.

It has space group Pmmm (No. 47), with a = 3.226 Å, b = 3.746 Å, c = 5.920 Å, α = 90.00°, β = 90.00° and γ = 90.00°. Symmetry generates all atoms from Be at (0.000, 0.000, 0.000), Cr at (0.500, 0.000, 0.500), Cl at (0.000, 0.500, 0.500) and Cl at (0.500, 0.500, 0.000).

Entry S
The following is a PBE-GGA calculation of an optimized crystal structure of BeCrCl2, from the Alexandria database.

The magnetization is 3.999 μB/f.u.

It has space group Imm2 (No. 44), with a = 3.103 Å, b = 8.068 Å, c = 8.818 Å, α = 90.00°, β = 90.00° and γ = 90.00°. Symmetry generates all atoms from Be at (0.000, 0.000, 0.000), Cr at (0.000, 0.500, 0.735), Cl at (0.000, 0.000, 0.429) and Cl at (0.000, 0.500, 0.352).

Verdict on stability: entry S comes out on top.

Entry P
The following is a PBE-GGA calculation of an optimized crystal structure of BeCrCl2, from the Alexandria database.

The magnetization is 4.005 μB/f.u. Its density of states at the Fermi level is 2.612 states/eV per cell.

It has space group P4mm (No. 99), with a = 3.041 Å, b = 3.041 Å, c = 7.906 Å, α = 90.00°, β = 90.00° and γ = 90.00°. Symmetry generates all atoms from Be at (0.000, 0.000, 0.000), Cr at (0.500, 0.500, 0.771), Cl at (0.000, 0.000, 0.579) and Cl at (0.500, 0.500, 0.145).

Entry Q
The following is a PBE-GGA calculation of an optimized crystal structure of BeCrCl2, from the Alexandria database.

The magnetization is 3.882 μB/f.u. Its density of states at the Fermi level is 1.100 states/eV per cell.

It has space group Cmm2 (No. 35), with a = 3.147 Å, b = 6.297 Å, c = 8.706 Å, α = 90.00°, β = 90.00° and γ = 90.00°. Symmetry generates all atoms from Be at (0.000, 0.000, 0.000), Cr at (0.000, 0.500, 0.765), Cl at (0.000, 0.000, 0.571) and Cl at (0.000, 0.500, 0.148).

Entry R
The following is a PBE-GGA calculation of an optimized crystal structure of BeCrCl2, from the Alexandria database.

The magnetization is 4.100 μB/f.u. Its density of states at the Fermi level is 13.843 states/eV per cell.

It has space group R-3m (No. 166, hexagonal axes), with a = 3.4182 Å, b = 3.4182 Å, c = 27.7749 Å, α = 90.00°, β = 90.00° and γ = 120.00°. Symmetry generates all atoms from Be at (0.0000, 0.0000, 0.0000), Cr at (0.0000, 0.0000, 0.5000) and Cl at (0.0000, 0.0000, 0.2205).

Verdict on stability: entry Q comes out on top.

Entry P
The following is a PBE-GGA calculation of an optimized crystal structure of BeCrCl, from the Alexandria database.

The magnetization is 4.480 μB/f.u. Its density of states at the Fermi level is 6.782 states/eV per cell.

It has space group F-43m (No. 216), with a = 6.075 Å, b = 6.075 Å, c = 6.075 Å, α = 90.00°, β = 90.00° and γ = 90.00°. Symmetry generates all atoms from Be at (0.000, 0.000, 0.000), Cr at (0.250, 0.250, 0.250) and Cl at (0.250, 0.250, 0.750).

Entry Q
The following is a PBE-GGA calculation of an optimized crystal structure of BeCrCl, from the Alexandria database.

The magnetization is 4.494 μB/f.u. Its density of states at the Fermi level is 7.652 states/eV per cell.

It has space group F-43m (No. 216), with a = 6.039 Å, b = 6.039 Å, c = 6.039 Å, α = 90.00°, β = 90.00° and γ = 90.00°. Symmetry generates all atoms from Be at (0.000, 0.000, 0.000), Cr at (0.250, 0.250, 0.750) and Cl at (0.000, 0.000, 0.500).

Verdict on stability: entry Q comes out on top.

Entry P
The following is a PBE-GGA calculation of an optimized crystal structure of BeCrCl, from the Alexandria database.

The magnetization is 1.413 μB/f.u. Its density of states at the Fermi level is 3.978 states/eV per cell.

It has space group I4mm (No. 107), with a = 2.803 Å, b = 2.803 Å, c = 12.349 Å, α = 90.00°, β = 90.00° and γ = 90.00°. Symmetry generates all atoms from Be at (0.000, 0.000, 0.000), Cr at (0.000, 0.000, 0.389) and Cl at (0.000, 0.000, 0.771).

Entry Q
The following is a PBE-GGA calculation of an optimized crystal structure of BeCrCl, from the Alexandria database.

The magnetization is 3.995 μB/f.u. Its density of states at the Fermi level is 6.360 states/eV per cell.

It has space group Fmm2 (No. 42), with a = 3.122 Å, b = 5.334 Å, c = 11.968 Å, α = 90.00°, β = 90.00° and γ = 90.00°. Symmetry generates all atoms from Be at (0.000, 0.000, 0.000), Cr at (0.000, 0.000, 0.649) and Cl at (0.000, 0.000, 0.384).

Verdict on stability: entry Q comes out on top.

Entry P
The following is a PBE-GGA calculation of an optimized crystal structure of BeCrS2Cl, from the Alexandria database.

The magnetization is 3.558 μB/f.u. Its density of states at the Fermi level is 3.287 states/eV per cell.

It has space group P4/mmm (No. 123), with a = 4.386 Å, b = 4.386 Å, c = 4.422 Å, α = 90.00°, β = 90.00° and γ = 90.00°. Symmetry generates all atoms from Be at (0.000, 0.000, 0.000), Cr at (0.500, 0.500, 0.500), S at (0.000, 0.500, 0.000) and Cl at (0.000, 0.000, 0.500).

Entry Q
The following is a PBE-GGA calculation of an optimized crystal structure of BeCrS2Cl, from the Alexandria database.

The magnetization is 2.756 μB/f.u. Its density of states at the Fermi level is 4.139 states/eV per cell.

It has space group P4/mmm (No. 123), with a = 4.598 Å, b = 4.598 Å, c = 4.627 Å, α = 90.00°, β = 90.00° and γ = 90.00°. Symmetry generates all atoms from Be at (0.000, 0.000, 0.000), Cr at (0.500, 0.500, 0.500), S at (0.000, 0.500, 0.500) and Cl at (0.500, 0.500, 0.000).

Verdict on stability: entry P comes out on top.

Entry P
The following is a PBE-GGA calculation of an optimized crystal structure of CsBeCl3, from the Alexandria database.

The magnetization is 0.000 μB/f.u. Its density of states at the Fermi level is 0.000 states/eV per cell.

It has space group Pm-3m (No. 221), with a = 4.848 Å, b = 4.848 Å, c = 4.848 Å, α = 90.00°, β = 90.00° and γ = 90.00°. Symmetry generates all atoms from Cs at (0.000, 0.000, 0.000), Be at (0.500, 0.500, 0.500) and Cl at (0.000, 0.500, 0.500).

Entry Q
The following is a PBE-GGA calculation of an optimized crystal structure of CsBeCl3, from the Alexandria database.

The magnetization is 0.000 μB/f.u. Its density of states at the Fermi level is 13.782 states/eV per cell.

It has space group Pm-3m (No. 221), with a = 6.218 Å, b = 6.218 Å, c = 6.218 Å, α = 90.00°, β = 90.00° and γ = 90.00°. Symmetry generates all atoms from Cs at (0.000, 0.000, 0.000), Be at (0.500, 0.500, 0.500) and Cl at (0.000, 0.000, 0.500).

Verdict on stability: entry P comes out on top.

Entry P
The following is a PBE-GGA calculation of an optimized crystal structure of CsBeCl3, from the Alexandria database.

The magnetization is 0.000 μB/f.u. Its density of states at the Fermi level is 0.000 states/eV per cell.

It has space group P1 (No. 1), with a = 5.826 Å, b = 7.448 Å, c = 7.451 Å, α = 74.63°, β = 87.27° and γ = 87.26°. Symmetry generates all atoms from Cs at (0.000, 0.000, 0.000), Cs at (0.450, 0.649, 0.650), Be at (0.725, 0.170, 0.478), Be at (0.725, 0.478, 0.171), Cl at (0.515, 0.701, 0.150), Cl at (0.516, 0.148, 0.701), Cl at (0.545, 0.231, 0.232), Cl at (0.905, 0.417, 0.418), Cl at (0.934, 0.500, 0.948) and Cl at (0.935, 0.947, 0.500).

Entry Q
The following is a PBE-GGA calculation of an optimized crystal structure of CsBeCl3, from the Alexandria database.

The magnetization is 0.000 μB/f.u. Its density of states at the Fermi level is 0.000 states/eV per cell.

It has space group Cmc2_1 (No. 36), with a = 7.233 Å, b = 14.820 Å, c = 5.955 Å, α = 90.00°, β = 90.00° and γ = 90.00°. Symmetry generates all atoms from Cs at (0.000, 0.148, 0.000), Be at (0.000, 0.429, 0.078), Cl at (0.000, 0.443, 0.436) and Cl at (0.232, 0.363, 0.002).

Entry R
The following is a PBE-GGA calculation of an optimized crystal structure of CsBeCl3, from the Alexandria database.

The magnetization is 0.000 μB/f.u. Its density of states at the Fermi level is 0.000 states/eV per cell.

It has space group I4/mmm (No. 139), with a = 7.460 Å, b = 7.460 Å, c = 10.260 Å, α = 90.00°, β = 90.00° and γ = 90.00°. Symmetry generates all atoms from Cs at (0.000, 0.500, 0.250), Be at (0.000, 0.000, 0.000), Be at (0.000, 0.000, 0.500), Cl at (0.000, 0.000, 0.180) and Cl at (0.205, 0.205, 0.500).

Verdict on stability: entry P comes out on top.

Entry P
The following is a PBE-GGA calculation of an optimized crystal structure of Cs2Be2Cl, from the Alexandria database.

The magnetization is 0.000 μB/f.u. Its density of states at the Fermi level is 7.774 states/eV per cell.

It has space group P4/mbm (No. 127), with a = 9.365 Å, b = 9.365 Å, c = 4.307 Å, α = 90.00°, β = 90.00° and γ = 90.00°. Symmetry generates all atoms from Cs at (0.210, 0.290, 0.000), Be at (0.080, 0.580, 0.500) and Cl at (0.000, 0.000, 0.500).

Entry Q
The following is a PBE-GGA calculation of an optimized crystal structure of Cs2Be2Cl, from the Alexandria database.

The magnetization is 1.000 μB/f.u. Its density of states at the Fermi level is 6.519 states/eV per cell.

It has space group I4/mmm (No. 139), with a = 6.656 Å, b = 6.656 Å, c = 9.587 Å, α = 90.00°, β = 90.00° and γ = 90.00°. Symmetry generates all atoms from Cs at (0.000, 0.500, 0.250), Be at (0.000, 0.000, 0.112) and Cl at (0.000, 0.000, 0.500).

Verdict on stability: entry P comes out on top.

Entry P
The following is a PBE-GGA calculation of an optimized crystal structure of CsBeGeCl, from the Alexandria database.

The magnetization is 0.000 μB/f.u. Its density of states at the Fermi level is 1.213 states/eV per cell.

It has space group Pm (No. 6), with a = 4.226 Å, b = 5.679 Å, c = 5.639 Å, α = 90.00°, β = 111.57° and γ = 90.00°. Symmetry generates all atoms from Cs at (0.000, 0.000, 0.000), Be at (0.186, 0.500, 0.515), Ge at (0.637, 0.500, 0.415) and Cl at (0.474, 0.500, 0.910).

Entry Q
The following is a PBE-GGA calculation of an optimized crystal structure of CsBeGeCl, from the Alexandria database.

The magnetization is 1.023 μB/f.u. Its density of states at the Fermi level is 2.093 states/eV per cell.

It has space group Amm2 (No. 38), with a = 3.821 Å, b = 4.276 Å, c = 14.736 Å, α = 90.00°, β = 90.00° and γ = 90.00°. Symmetry generates all atoms from Cs at (0.000, 0.000, 0.000), Be at (0.500, 0.000, 0.768), Ge at (0.500, 0.000, 0.322) and Cl at (0.500, 0.000, 0.632).

Verdict on stability: entry Q comes out on top.

Entry P
The following is a PBE-GGA calculation of an optimized crystal structure of CsBeGeCl, from the Alexandria database.

The magnetization is 0.002 μB/f.u. Its density of states at the Fermi level is 2.034 states/eV per cell.

It has space group P1 (No. 1), with a = 3.511 Å, b = 4.386 Å, c = 7.932 Å, α = 98.84°, β = 90.02° and γ = 113.50°. Symmetry generates all atoms from Cs at (0.000, 0.000, 0.000), Be at (0.367, 0.729, 0.558), Ge at (0.669, 0.334, 0.629) and Cl at (0.345, 0.687, 0.297).

Entry Q
The following is a PBE-GGA calculation of an optimized crystal structure of CsBeGeCl, from the Alexandria database.

The magnetization is 0.000 μB/f.u. Its density of states at the Fermi level is 0.545 states/eV per cell.

It has space group Cm (No. 8), with a = 7.187 Å, b = 4.292 Å, c = 7.305 Å, α = 90.00°, β = 99.73° and γ = 90.00°. Symmetry generates all atoms from Cs at (0.000, 0.000, 0.000), Be at (0.414, 0.000, 0.402), Ge at (0.259, 0.500, 0.371) and Cl at (0.105, 0.500, 0.663).

Verdict on stability: entry Q comes out on top.

Entry P
The following is a PBE-GGA calculation of an optimized crystal structure of CsBeGeCl, from the Alexandria database.

The magnetization is 0.898 μB/f.u. Its density of states at the Fermi level is 1.917 states/eV per cell.

It has space group Imm2 (No. 44), with a = 3.463 Å, b = 4.318 Å, c = 14.217 Å, α = 90.00°, β = 90.00° and γ = 90.00°. Symmetry generates all atoms from Cs at (0.000, 0.000, 0.000), Be at (0.000, 0.500, 0.259), Ge at (0.000, 0.000, 0.320) and Cl at (0.000, 0.000, 0.658).

Entry Q
The following is a PBE-GGA calculation of an optimized crystal structure of CsBeGeCl, from the Alexandria database.

The magnetization is 0.000 μB/f.u. Its density of states at the Fermi level is 2.473 states/eV per cell.

It has space group Cm (No. 8), with a = 16.854 Å, b = 3.577 Å, c = 3.787 Å, α = 90.00°, β = 97.41° and γ = 90.00°. Symmetry generates all atoms from Cs at (0.000, 0.000, 0.000), Be at (0.249, 0.500, 0.517), Ge at (0.335, 0.000, 0.406) and Cl at (0.136, 0.500, 0.579).

Verdict on stability: entry Q comes out on top.